The following is a SCAN calculation of a PBEsol-optimized structure of Zr2CuP, from the Alexandria database.

Calculated values
Energy ... -1.653 Ry/atom
N(E_F) ... 2.5 states/eV per cell

a = 3.6989 Å, b = 3.6989 Å, c = 5.2790 Å
α = 90.00°, β = 90.00°, γ = 90.00°
Sites, in units of the cell vectors:
1 Zr 0.0000 0.0000 0.0000
2 Zr 0.5000 0.5000 0.5000
3 Cu 0.0000 0.0000 0.5000
4 P 0.5000 0.5000 0.0000